A plane-wave DFT calculation with PBE-GGA was carried out for a geometry-optimized CePaBr5 structure.

## Properties
total DFT energy (no corrections)	-34.25	eV/f.u.
energy relative to the elements, uncorrected	-34.46	kcal/mol of atoms
DOS(E_F)	20.5	states/eV per cell

Unit cell a=8.655 b=3.989 c=13.976 alpha=90.00 beta=95.45 gamma=90.00
Fractional coordinates of all 14 atoms:
Ce 0.105 0.250 0.151
Ce 0.895 0.750 0.849
Pa 0.424 0.750 0.345
Pa 0.576 0.250 0.655
Br 0.074 0.750 0.311
Br 0.139 0.250 0.930
Br 0.317 0.250 0.487
Br 0.355 0.750 0.712
Br 0.360 0.750 0.131
Br 0.640 0.250 0.869
Br 0.645 0.250 0.288
Br 0.683 0.750 0.513
Br 0.861 0.750 0.070
Br 0.926 0.250 0.689

---

A plane-wave DFT calculation with PBE-GGA was carried out for a geometry-optimized CePaBr6 structure.

## Properties
total DFT energy (no corrections)	-37.69	eV/f.u.
energy relative to the elements, uncorrected	-35.25	kcal/mol of atoms
DOS(E_F)	28.8	states/eV per cell

Unit cell a=7.267 b=13.206 c=7.276 alpha=90.00 beta=106.78 gamma=90.00
Fractional coordinates of all 16 atoms:
Ce 0.000 0.000 0.000
Ce 0.500 0.500 0.000
Pa 0.000 0.500 0.500
Pa 0.500 0.000 0.500
Br 0.239 0.350 0.747
Br 0.239 0.650 0.747
Br 0.247 0.000 0.740
Br 0.253 0.500 0.260
Br 0.261 0.150 0.253
Br 0.261 0.850 0.253
Br 0.739 0.150 0.747
Br 0.739 0.850 0.747
Br 0.747 0.500 0.740
Br 0.753 0.000 0.260
Br 0.761 0.350 0.253
Br 0.761 0.650 0.253

---

A plane-wave DFT calculation with PBE-GGA was carried out for a geometry-optimized CePaBr structure.

## Properties
total DFT energy (no corrections)	-17.28	eV/f.u.
energy relative to the elements, uncorrected	-1.39	kcal/mol of atoms
DOS(E_F)	25.2	states/eV per cell

Unit cell a=10.560 b=5.134 c=6.021 alpha=90.00 beta=90.00 gamma=90.00
Fractional coordinates of all 12 atoms:
Ce 0.204 0.250 0.066
Ce 0.296 0.750 0.566
Ce 0.704 0.250 0.434
Ce 0.796 0.750 0.934
Pa 0.063 0.750 0.085
Pa 0.437 0.250 0.585
Pa 0.563 0.750 0.415
Pa 0.937 0.250 0.915
Br 0.134 0.250 0.555
Br 0.366 0.750 0.055
Br 0.634 0.250 0.945
Br 0.866 0.750 0.445

---

Copy entry 3 word for word.
A plane-wave DFT calculation with PBE-GGA was carried out for a geometry-optimized CePaBr structure.

## Properties
total DFT energy (no corrections)	-17.28	eV/f.u.
energy relative to the elements, uncorrected	-1.39	kcal/mol of atoms
DOS(E_F)	25.2	states/eV per cell

Unit cell a=10.560 b=5.134 c=6.021 alpha=90.00 beta=90.00 gamma=90.00
Fractional coordinates of all 12 atoms:
Ce 0.204 0.250 0.066
Ce 0.296 0.750 0.566
Ce 0.704 0.250 0.434
Ce 0.796 0.750 0.934
Pa 0.063 0.750 0.085
Pa 0.437 0.250 0.585
Pa 0.563 0.750 0.415
Pa 0.937 0.250 0.915
Br 0.134 0.250 0.555
Br 0.366 0.750 0.055
Br 0.634 0.250 0.945
Br 0.866 0.750 0.445

---

Copy entry 1 word for word.
A plane-wave DFT calculation with PBE-GGA was carried out for a geometry-optimized CePaBr5 structure.

## Properties
total DFT energy (no corrections)	-34.25	eV/f.u.
energy relative to the elements, uncorrected	-34.46	kcal/mol of atoms
DOS(E_F)	20.5	states/eV per cell

Unit cell a=8.655 b=3.989 c=13.976 alpha=90.00 beta=95.45 gamma=90.00
Fractional coordinates of all 14 atoms:
Ce 0.105 0.250 0.151
Ce 0.895 0.750 0.849
Pa 0.424 0.750 0.345
Pa 0.576 0.250 0.655
Br 0.074 0.750 0.311
Br 0.139 0.250 0.930
Br 0.317 0.250 0.487
Br 0.355 0.750 0.712
Br 0.360 0.750 0.131
Br 0.640 0.250 0.869
Br 0.645 0.250 0.288
Br 0.683 0.750 0.513
Br 0.861 0.750 0.070
Br 0.926 0.250 0.689

---

- What is the total DFT energy (no corrections) in the first record?
  -34.25 eV/f.u.